KSrBr2 PBE optimized geometry; raw formation energy = -5.88 eV/f.u.; E above lowest polymorph = 77 meV per atom; density of states at the Fermi level = 1.79 states/eV/cell; raw total energy = -3.001 eV/atom
1.0
-2.065 2.315 8.521
2.065 -2.315 8.521
2.065 2.315 -8.521
K Sr Br
1 1 2
Cartesian
0.000 0.000 0.000
2.065 0.000 4.353
0.000 0.000 6.810
0.000 2.315 3.662